Entry from Alexandria via LeMat-Bulk: crystalline Pm2SmTm4 at its relaxed geometry (GGA-PBE).

Cell lengths 8.4198, 8.4198, 8.4198 Å; angles 109.49, 109.44, 109.49 degrees
Sites, in units of the cell vectors:
Pm  0.8750  0.1249  0.4999
Pm  0.5001  0.3751  0.6250
Pm  0.3750  0.8751  0.7501
Pm  0.2499  0.6249  0.1250
Sm  0.0000  0.0000  0.0000
Sm  0.7500  0.5000  0.2500
Tm  0.1247  0.9139  0.3748
Tm  0.6252  0.7499  0.5391
Tm  0.9608  0.5861  0.7109
Tm  0.2891  0.2499  0.8752
Tm  0.6253  0.7501  0.0392
Tm  0.7892  0.2501  0.8753
Tm  0.4609  0.0861  0.2108
Tm  0.1248  0.4139  0.3747

## Properties
formation energy = 0.270 eV/atom
density = 8.07 g/cm³
SG = No. 122



Entry from Alexandria via LeMat-Bulk: crystalline Pr3Nd4YS8 at its relaxed geometry (GGA-PBE).

Cell lengths 8.1388, 8.1295, 8.1384 Å; angles 120.03, 120.00, 90.00 degrees
Sites, in units of the cell vectors:
Pr  0.5000  0.5000  0.0000
Pr  0.5000  0.5000  0.5000
Pr  0.0000  0.5000  0.5000
Nd  0.5000  0.0000  0.0000
Nd  0.5000  0.0000  0.5000
Nd  0.0000  0.0000  0.0000
Nd  0.0000  0.0000  0.5000
Y  0.0000  0.5000  0.0000
S  0.2444  0.7466  0.0022
S  0.2444  0.7466  0.4889
S  0.2489  0.2466  0.4977
S  0.7578  0.7466  0.0022
S  0.2422  0.2534  0.9978
S  0.7511  0.7534  0.5023
S  0.7556  0.2534  0.5111
S  0.7556  0.2534  0.9978

## Properties
density = 5.87 g/cm³
raw formation energy = -32.20 eV per formula unit
SG = No. 166



Entry from Alexandria via LeMat-Bulk: crystalline Nd5Sm3Er3 at its relaxed geometry (GGA-PBE).

Cell lengths 3.4630, 11.3479, 11.3479 Å; angles 120.00, 90.00, 90.00 degrees
Sites, in units of the cell vectors:
Nd  0.5000  0.6667  0.3333
Nd  0.5000  0.3333  0.6667
Nd  0.5000  0.3375  0.0000
Nd  0.5000  0.6625  0.6625
Nd  0.5000  0.0000  0.3375
Sm  0.0000  0.5970  0.0000
Sm  0.0000  0.0000  0.5970
Sm  0.0000  0.4030  0.4030
Er  0.5000  0.8410  0.0000
Er  0.5000  0.1590  0.1590
Er  0.5000  0.0000  0.8410

## Properties
formation energy = 0.315 eV/atom
density = 7.20 g/cm³
SG = No. 189



Entry from Alexandria via LeMat-Bulk: crystalline HfTeO5 at its relaxed geometry (GGA-PBE).

Cell lengths 5.3065, 5.3065, 7.4178 Å; angles 69.66, 69.66, 72.07 degrees
Sites, in units of the cell vectors:
Hf  0.5358  0.4642  0.7500
Hf  0.4642  0.5358  0.2500
Te  0.0000  0.0000  0.0000
Te  0.0000  0.0000  0.5000
O  0.2644  0.2202  0.8741
O  0.3178  0.7051  0.5337
O  0.2202  0.2644  0.3741
O  0.8918  0.1082  0.7500
O  0.2949  0.6822  0.9663
O  0.7051  0.3178  0.0337
O  0.1082  0.8918  0.2500
O  0.7798  0.7356  0.6259
O  0.6822  0.2949  0.4663
O  0.7356  0.7798  0.1259

## Properties
density = 7.15 g/cm³
raw formation energy = -14.05 eV per formula unit
SG = No. 15



Entry from Alexandria via LeMat-Bulk: crystalline ReAs2Cl at its relaxed geometry (GGA-PBE).

Cell lengths 5.5595, 5.5595, 2.8098 Å; angles 66.91, 66.91, 81.67 degrees
Sites, in units of the cell vectors:
Re  0.0000  0.5000  0.5000
As  0.0000  0.0000  0.0000
As  0.5000  0.5000  0.0000
Cl  0.5000  0.0000  0.5000

## Properties
density = 8.40 g/cm³
raw formation energy = 1.98 eV per formula unit
SG = No. 12



Entry from Alexandria via LeMat-Bulk: crystalline Hf2ZrCu2 at its relaxed geometry (GGA-PBE).

Cell lengths 3.9268, 3.9268, 6.9995 Å; angles 73.71, 73.71, 90.00 degrees
Sites, in units of the cell vectors:
Hf  0.3876  0.3876  0.2247
Hf  0.6124  0.6124  0.7753
Cu  0.7500  0.2500  0.5000
Cu  0.2500  0.7500  0.5000
Zr  0.0000  0.0000  0.0000

## Properties
formation energy = 0.290 eV/atom
density = 9.64 g/cm³
SG = No. 139



Number 1: Fermi-level density of states 13.8 states/eV/f.u., V 32.82 A^3/atom. Number 2: Fermi-level density of states 8.9 states/eV/f.u., V 23.78 A^3/atom. Number 3: Fermi-level density of states 16.9 states/eV/f.u., V 35.11 A^3/atom. Number 4: Fermi-level density of states 0.0 states/eV/f.u., V 12.82 A^3/atom. Number 5: Fermi-level density of states 1.8 states/eV/f.u., V 18.37 A^3/atom. Number 6: Fermi-level density of states 6.6 states/eV/f.u., V 19.82 A^3/atom.